Density functional theory data (PBE) for a relaxed K2BeBiO6 crystal.

As for the crystal system: trigonal. The total DFT energy (no corrections) is -4.829 eV/atom. For the density of states at the Fermi level, the calculation gives 8.3 states/eV/cell. For the uncorrected formation energy, the calculation gives -873.5 meV/atom.

It has space group P-3m1 (No. 164), with a = 5.9279 Å, b = 5.9279 Å, c = 5.4773 Å, α = 90.00°, β = 90.00° and γ = 120.00°. The inequivalent atoms are K at (0.3333, 0.6667, 0.1433), Be at (0.0000, 0.0000, 0.0000), Bi at (0.0000, 0.0000, 0.5000) and O at (0.1418, 0.2836, 0.7832).

Density functional theory data (PBE) for a relaxed Li3Pm2TiS6 crystal.

As for the crystal system: monoclinic. The total DFT energy (no corrections) is -5.606 eV/atom. For the density of states at the Fermi level, the calculation gives 10.9 states/eV/cell. For the uncorrected formation energy, the calculation gives -1614.4 meV/atom.

It has space group C2/m (No. 12), with a = 6.711 Å, b = 11.634 Å, c = 6.538 Å, α = 90.00°, β = 109.36° and γ = 90.00°. The inequivalent atoms are Li at (0.000, 0.000, 0.000), Li at (0.000, 0.349, 0.000), Pm at (0.000, 0.169, 0.500), Ti at (0.000, 0.500, 0.500), S at (0.226, 0.500, 0.258) and S at (0.235, 0.348, 0.751).